This record from the Alexandria database describes crystalline NbSnP2Cl at its relaxed geometry. The functional is PBE-GGA.

Summary:
SG   P4/mmm
Formation energy without anion corrections   -0.009 eV per atom
Distance to the lowest polymorph of the same formula   0.000 eV/atom

a b c (Å): 4.908 4.908 4.852
angles (deg): 90.00 90.00 90.00
Sites, in units of the cell vectors:
1 Nb 0.000 0.000 0.000
2 Sn 0.500 0.500 0.500
3 P 0.000 0.500 0.000
4 P 0.500 0.000 0.000
5 Cl 0.000 0.000 0.500

This record from the Alexandria database describes crystalline NbSnP2Cl at its relaxed geometry. The functional is PBE-GGA.

Summary:
SG   P4/mmm
Formation energy without anion corrections   1.026 eV per atom
Distance to the lowest polymorph of the same formula   1.034 eV/atom

a b c (Å): 4.999 4.999 4.940
angles (deg): 90.00 90.00 90.00
Sites, in units of the cell vectors:
1 Nb 0.000 0.000 0.000
2 Sn 0.500 0.500 0.500
3 P 0.000 0.500 0.500
4 P 0.500 0.000 0.500
5 Cl 0.500 0.500 0.000

This record from the Alexandria database describes crystalline NbSnPCl2 at its relaxed geometry. The functional is PBE-GGA.

Summary:
SG   P4/mmm
Formation energy without anion corrections   -0.191 eV per atom
Distance to the lowest polymorph of the same formula   0.000 eV/atom

a b c (Å): 4.844 4.844 5.063
angles (deg): 90.00 90.00 90.00
Sites, in units of the cell vectors:
1 Nb 0.000 0.000 0.000
2 Sn 0.500 0.500 0.500
3 P 0.000 0.000 0.500
4 Cl 0.000 0.500 0.000
5 Cl 0.500 0.000 0.000

This record from the Alexandria database describes crystalline NbTcP2Cl at its relaxed geometry. The functional is PBE-GGA.

Summary:
SG   P4/mmm
Formation energy without anion corrections   0.746 eV per atom
Distance to the lowest polymorph of the same formula   0.024 eV/atom

a b c (Å): 4.869 4.869 4.766
angles (deg): 90.00 90.00 90.00
Sites, in units of the cell vectors:
1 Nb 0.000 0.000 0.000
2 Tc 0.500 0.500 0.500
3 P 0.000 0.500 0.000
4 P 0.500 0.000 0.000
5 Cl 0.000 0.000 0.500

This record from the Alexandria database describes crystalline NbTcP2Cl at its relaxed geometry. The functional is PBE-GGA.

Summary:
SG   P4/mmm
Formation energy without anion corrections   0.723 eV per atom
Distance to the lowest polymorph of the same formula   0.000 eV/atom

a b c (Å): 4.540 4.540 4.950
angles (deg): 90.00 90.00 90.00
Sites, in units of the cell vectors:
1 Nb 0.000 0.000 0.000
2 Tc 0.500 0.500 0.500
3 P 0.000 0.500 0.500
4 P 0.500 0.000 0.500
5 Cl 0.500 0.500 0.000

This record from the Alexandria database describes crystalline TiNbP2Cl at its relaxed geometry. The functional is PBE-GGA.

Summary:
SG   P4/mmm
Formation energy without anion corrections   0.332 eV per atom
Distance to the lowest polymorph of the same formula   0.049 eV/atom

a b c (Å): 4.847 4.847 4.716
angles (deg): 90.00 90.00 90.00
Sites, in units of the cell vectors:
1 Ti 0.000 0.000 0.000
2 Nb 0.500 0.500 0.500
3 P 0.000 0.500 0.500
4 P 0.500 0.000 0.500
5 Cl 0.500 0.500 0.000

This record from the Alexandria database describes crystalline TiNbPCl2 at its relaxed geometry. The functional is PBE-GGA.

Summary:
SG   P4/mmm
Formation energy without anion corrections   0.071 eV per atom
Distance to the lowest polymorph of the same formula   0.000 eV/atom

a b c (Å): 4.577 4.577 5.100
angles (deg): 90.00 90.00 90.00
Sites, in units of the cell vectors:
1 Ti 0.000 0.000 0.000
2 Nb 0.500 0.500 0.500
3 P 0.000 0.000 0.500
4 Cl 0.000 0.500 0.000
5 Cl 0.500 0.000 0.000

This record from the Alexandria database describes crystalline TiNbP2Cl at its relaxed geometry. The functional is PBE-GGA.

Summary:
SG   P4/mmm
Formation energy without anion corrections   0.284 eV per atom
Distance to the lowest polymorph of the same formula   0.000 eV/atom

a b c (Å): 4.736 4.736 4.544
angles (deg): 90.00 90.00 90.00
Sites, in units of the cell vectors:
1 Ti 0.000 0.000 0.000
2 Nb 0.500 0.500 0.500
3 P 0.000 0.500 0.000
4 P 0.500 0.000 0.000
5 Cl 0.000 0.000 0.500

This record from the Alexandria database describes crystalline TiNbPCl2 at its relaxed geometry. The functional is PBE-GGA.

Summary:
SG   P4/mmm
Formation energy without anion corrections   0.202 eV per atom
Distance to the lowest polymorph of the same formula   0.131 eV/atom

a b c (Å): 4.760 4.760 5.047
angles (deg): 90.00 90.00 90.00
Sites, in units of the cell vectors:
1 Ti 0.000 0.000 0.000
2 Nb 0.500 0.500 0.500
3 P 0.500 0.500 0.000
4 Cl 0.000 0.500 0.500
5 Cl 0.500 0.000 0.500

This record from the Alexandria database describes crystalline NbTlP2Cl at its relaxed geometry. The functional is PBE-GGA.

Summary:
SG   P4/mmm
Formation energy without anion corrections   -0.176 eV per atom
Distance to the lowest polymorph of the same formula   0.000 eV/atom

a b c (Å): 4.853 4.853 5.205
angles (deg): 90.00 90.00 90.00
Sites, in units of the cell vectors:
1 Nb 0.000 0.000 0.000
2 Tl 0.500 0.500 0.500
3 P 0.000 0.500 0.000
4 P 0.500 0.000 0.000
5 Cl 0.000 0.000 0.500

This record from the Alexandria database describes crystalline NbTlP2Cl at its relaxed geometry. The functional is PBE-GGA.

Summary:
SG   P4/mmm
Formation energy without anion corrections   1.307 eV per atom
Distance to the lowest polymorph of the same formula   1.484 eV/atom

a b c (Å): 5.022 5.022 5.192
angles (deg): 90.00 90.00 90.00
Sites, in units of the cell vectors:
1 Nb 0.000 0.000 0.000
2 Tl 0.500 0.500 0.500
3 P 0.000 0.500 0.500
4 P 0.500 0.000 0.500
5 Cl 0.500 0.500 0.000

This record from the Alexandria database describes crystalline NbVPCl2 at its relaxed geometry. The functional is PBE-GGA.

Summary:
SG   P4/mmm
Formation energy without anion corrections   0.298 eV per atom
Distance to the lowest polymorph of the same formula   0.076 eV/atom

a b c (Å): 4.540 4.540 5.051
angles (deg): 90.00 90.00 90.00
Sites, in units of the cell vectors:
1 Nb 0.000 0.000 0.000
2 V 0.500 0.500 0.500
3 P 0.500 0.500 0.000
4 Cl 0.000 0.500 0.500
5 Cl 0.500 0.000 0.500

Number 1: total moment 0.000 μB per cell. Number 2: total moment 2.166 μB per cell. Number 3: total moment 0.003 μB per cell. Number 4: total moment 4.539 μB per cell. Number 5: total moment 3.536 μB per cell. Number 6: total moment 0.189 μB per cell. Number 7: total moment 3.366 μB per cell. Number 8: total moment 2.433 μB per cell. Number 9: total moment 0.358 μB per cell. Number 10: total moment 0.000 μB per cell. Number 11: total moment 1.877 μB per cell. Number 12: total moment 4.994 μB per cell.